VASP calculation (PBEsol) on crystalline VCr3 at its relaxed geometry.

Properties
Space-group type   No. 225

a b c (Å): 5.6850 5.6850 5.6850
angles (deg): 90.00 90.00 90.00
With the nearest neighbours (Å) after each atom.
Element x y z (fractional)
V  0.0000  0.0000  0.0000  8 Cr 2.46
V  0.0000  0.5000  0.5000  8 Cr 2.46
V  0.5000  0.0000  0.5000  8 Cr 2.46
V  0.5000  0.5000  0.0000  8 Cr 2.46
Cr  0.0000  0.0000  0.5000  8 Cr 2.46
Cr  0.0000  0.5000  0.0000  8 Cr 2.46
Cr  0.2500  0.2500  0.2500  4 Cr 2.46, 4 V 2.46
Cr  0.2500  0.2500  0.7500  4 Cr 2.46, 4 V 2.46
Cr  0.2500  0.7500  0.2500  4 Cr 2.46, 4 V 2.46
Cr  0.2500  0.7500  0.7500  4 Cr 2.46, 4 V 2.46
Cr  0.5000  0.0000  0.0000  8 Cr 2.46
Cr  0.5000  0.5000  0.5000  8 Cr 2.46
Cr  0.7500  0.2500  0.2500  4 Cr 2.46, 4 V 2.46
Cr  0.7500  0.2500  0.7500  4 Cr 2.46, 4 V 2.46
Cr  0.7500  0.7500  0.2500  4 Cr 2.46, 4 V 2.46
Cr  0.7500  0.7500  0.7500  4 Cr 2.46, 4 V 2.46



VASP calculation (PBEsol) on crystalline CrW2 at its relaxed geometry.

Properties
Excess energy over the best structure of this formula in the dataset   15 meV per atom
Space-group type   No. 12

a b c (Å): 9.6737 3.0665 6.1204
angles (deg): 90.00 109.05 90.00
With the nearest neighbours (Å) after each atom.
Element x y z (fractional)
Cr  0.1675  0.0000  0.0816  6 W 2.59-2.64, 2 Cr 2.63
Cr  0.3325  0.5000  0.9184  6 W 2.59-2.64, 2 Cr 2.63
Cr  0.6675  0.5000  0.0816  6 W 2.59-2.64, 2 Cr 2.63
Cr  0.8325  0.0000  0.9184  6 W 2.59-2.64, 2 Cr 2.63
W  0.0015  0.5000  0.7612  4 Cr 2.59-2.64, 4 W 2.68-2.72
W  0.1696  0.0000  0.5917  2 Cr 2.60, 6 W 2.68-2.72
W  0.3304  0.5000  0.4083  2 Cr 2.60, 6 W 2.68-2.72
W  0.4985  0.0000  0.2388  4 Cr 2.59-2.64, 4 W 2.68-2.72
W  0.5015  0.0000  0.7612  4 Cr 2.59-2.64, 4 W 2.68-2.72
W  0.6696  0.5000  0.5917  2 Cr 2.60, 6 W 2.68-2.72
W  0.8304  0.0000  0.4083  2 Cr 2.60, 6 W 2.68-2.72
W  0.9985  0.5000  0.2388  4 Cr 2.59-2.64, 4 W 2.68-2.72



VASP calculation (PBEsol) on crystalline CrW3 at its relaxed geometry.

Properties
Space-group type   No. 65

a b c (Å): 3.0974 4.3985 8.6242
angles (deg): 90.00 90.00 90.00
With the nearest neighbours (Å) after each atom.
Element x y z (fractional)
Cr  0.0000  0.0000  0.0000  4 W 2.57, 4 Cr 2.69
Cr  0.5000  0.5000  0.0000  4 W 2.57, 4 Cr 2.69
W  0.0000  0.0000  0.5000  8 W 2.69-2.74
W  0.0000  0.5000  0.2375  2 Cr 2.57, 6 W 2.69-2.74
W  0.0000  0.5000  0.7625  2 Cr 2.57, 6 W 2.69-2.74
W  0.5000  0.0000  0.2375  2 Cr 2.57, 6 W 2.69-2.74
W  0.5000  0.0000  0.7625  2 Cr 2.57, 6 W 2.69-2.74
W  0.5000  0.5000  0.5000  8 W 2.69-2.74



VASP calculation (PBEsol) on crystalline Cr4W at its relaxed geometry.

Properties
Space-group type   No. 87

a b c (Å): 6.4666 6.4666 2.8996
angles (deg): 90.00 90.00 90.00
With the nearest neighbours (Å) after each atom.
Element x y z (fractional)
Cr  0.0997  0.6931  0.0000  6 Cr 2.46-2.53, 2 W 2.54
Cr  0.1931  0.4003  0.5000  6 Cr 2.46-2.53, 2 W 2.54
Cr  0.3069  0.0997  0.0000  6 Cr 2.46-2.53, 2 W 2.54
Cr  0.4003  0.8069  0.5000  6 Cr 2.46-2.53, 2 W 2.54
Cr  0.5997  0.1931  0.5000  6 Cr 2.46-2.53, 2 W 2.54
Cr  0.6931  0.9003  0.0000  6 Cr 2.46-2.53, 2 W 2.54
Cr  0.8069  0.5997  0.5000  6 Cr 2.46-2.53, 2 W 2.54
Cr  0.9003  0.3069  0.0000  6 Cr 2.46-2.53, 2 W 2.54
W  0.0000  0.0000  0.5000  8 Cr 2.54
W  0.5000  0.5000  0.0000  8 Cr 2.54



VASP calculation (PBEsol) on crystalline Cr5W4 at its relaxed geometry.

Properties
Space-group type   No. 139

a b c (Å): 6.4956 6.4956 6.4956
angles (deg): 93.06 93.06 153.27
With the nearest neighbours (Å) after each atom.
Element x y z (fractional)
Cr  0.0000  0.0000  0.0000  8 Cr 2.55
Cr  0.3366  0.3366  0.6732  4 W 2.53, 4 Cr 2.55-2.65
Cr  0.3366  0.6634  0.0000  4 W 2.53, 4 Cr 2.55-2.65
Cr  0.6634  0.3366  0.0000  4 W 2.53, 4 Cr 2.55-2.65
Cr  0.6634  0.6634  0.3268  4 W 2.53, 4 Cr 2.55-2.65
W  0.0000  0.3230  0.3230  4 Cr 2.53, 4 W 2.69
W  0.0000  0.6770  0.6770  4 Cr 2.53, 4 W 2.69
W  0.3230  0.0000  0.3230  4 Cr 2.53, 4 W 2.69
W  0.6770  0.0000  0.6770  4 Cr 2.53, 4 W 2.69



VASP calculation (PBEsol) on crystalline CrW2 at its relaxed geometry.

Properties
Excess energy over the best structure of this formula in the dataset   29 meV per atom
Space-group type   No. 136

a b c (Å): 9.3238 9.3238 4.9517
angles (deg): 90.00 90.00 90.00
With the nearest neighbours (Å) after each atom.
Element x y z (fractional)
Cr  0.0000  0.0000  0.0000  4 Cr 2.40
Cr  0.0649  0.2491  0.0000  2 Cr 2.40-2.43
Cr  0.2491  0.0649  0.0000  2 Cr 2.40-2.43
Cr  0.2509  0.5649  0.5000  2 Cr 2.40-2.43
Cr  0.4351  0.7491  0.5000  2 Cr 2.40-2.43
Cr  0.5000  0.5000  0.5000  4 Cr 2.40
Cr  0.5649  0.2509  0.5000  2 Cr 2.40-2.43
Cr  0.7491  0.4351  0.5000  2 Cr 2.40-2.43
Cr  0.7509  0.9351  0.0000  2 Cr 2.40-2.43
Cr  0.9351  0.7509  0.0000  2 Cr 2.40-2.43
W  0.0343  0.3711  0.5000  2 W 2.49-2.59, 4 Cr 2.71-2.74
W  0.1016  0.1016  0.5000  3 W 2.59-2.68, 6 Cr 2.81-2.85
W  0.1289  0.5343  0.0000  2 W 2.49-2.59, 4 Cr 2.71-2.74
W  0.1843  0.8157  0.2506  2 W 2.47-2.48, 5 Cr 2.70-2.73
W  0.1843  0.8157  0.7494  2 W 2.47-2.48, 5 Cr 2.70-2.73
W  0.3157  0.3157  0.2494  2 W 2.47-2.48, 5 Cr 2.70-2.73
W  0.3157  0.3157  0.7506  2 W 2.47-2.48, 5 Cr 2.70-2.73
W  0.3711  0.0343  0.5000  2 W 2.49-2.59, 4 Cr 2.71-2.74
W  0.3984  0.6016  0.0000  3 W 2.59-2.68, 6 Cr 2.81-2.85
W  0.4657  0.8711  0.0000  2 W 2.49-2.59, 4 Cr 2.71-2.74
W  0.5343  0.1289  0.0000  2 W 2.49-2.59, 4 Cr 2.71-2.74
W  0.6016  0.3984  0.0000  3 W 2.59-2.68, 6 Cr 2.81-2.85
W  0.6289  0.9657  0.5000  2 W 2.49-2.59, 4 Cr 2.71-2.74
W  0.6843  0.6843  0.2494  2 W 2.47-2.48, 5 Cr 2.70-2.73
W  0.6843  0.6843  0.7506  2 W 2.47-2.48, 5 Cr 2.70-2.73
W  0.8157  0.1843  0.2506  2 W 2.47-2.48, 5 Cr 2.70-2.73
W  0.8157  0.1843  0.7494  2 W 2.47-2.48, 5 Cr 2.70-2.73
W  0.8711  0.4657  0.0000  2 W 2.49-2.59, 4 Cr 2.71-2.74
W  0.8984  0.8984  0.5000  3 W 2.59-2.68, 6 Cr 2.81-2.85
W  0.9657  0.6289  0.5000  2 W 2.49-2.59, 4 Cr 2.71-2.74



VASP calculation (PBEsol) on crystalline CrW5 at its relaxed geometry.

Properties
Space-group type   No. 65

a b c (Å): 3.1180 13.1702 4.3927
angles (deg): 90.00 90.00 90.00
With the nearest neighbours (Å) after each atom.
Element x y z (fractional)
Cr  0.0000  0.0000  0.0000  8 W 2.66-2.69
Cr  0.5000  0.5000  0.0000  8 W 2.66-2.69
W  0.0000  0.1651  0.5000  8 W 2.68-2.73
W  0.0000  0.3368  0.0000  2 Cr 2.66, 6 W 2.69-2.77
W  0.0000  0.5000  0.5000  4 W 2.68, 4 Cr 2.69
W  0.0000  0.6632  0.0000  2 Cr 2.66, 6 W 2.69-2.77
W  0.0000  0.8349  0.5000  8 W 2.68-2.73
W  0.5000  0.0000  0.5000  4 W 2.68, 4 Cr 2.69
W  0.5000  0.1632  0.0000  2 Cr 2.66, 6 W 2.69-2.77
W  0.5000  0.3349  0.5000  8 W 2.68-2.73
W  0.5000  0.6651  0.5000  8 W 2.68-2.73
W  0.5000  0.8368  0.0000  2 Cr 2.66, 6 W 2.69-2.77



VASP calculation (PBEsol) on crystalline CrW3 at its relaxed geometry.

Properties
Space-group type   No. 221

a b c (Å): 4.4542 4.4542 4.4542
angles (deg): 90.00 90.00 90.00
With the nearest neighbours (Å) after each atom.
Element x y z (fractional)
Cr  0.0000  0.0000  0.0000  6 W 2.23
W  0.0000  0.0000  0.5000  2 Cr 2.23
W  0.0000  0.5000  0.0000  2 Cr 2.23
W  0.5000  0.0000  0.0000  2 Cr 2.23



VASP calculation (PBEsol) on crystalline CrW2 at its relaxed geometry.

Properties
Excess energy over the best structure of this formula in the dataset   1 meV per atom
Space-group type   No. 139

a b c (Å): 3.0593 3.0593 9.1361
angles (deg): 90.00 90.00 90.00
With the nearest neighbours (Å) after each atom.
Element x y z (fractional)
Cr  0.0000  0.0000  0.0000  8 W 2.62
Cr  0.5000  0.5000  0.5000  8 W 2.62
W  0.0000  0.0000  0.3383  4 Cr 2.62, 4 W 2.70
W  0.0000  0.0000  0.6617  4 Cr 2.62, 4 W 2.70
W  0.5000  0.5000  0.1617  4 Cr 2.62, 4 W 2.70
W  0.5000  0.5000  0.8383  4 Cr 2.62, 4 W 2.70



VASP calculation (PBEsol) on crystalline Cr3W4 at its relaxed geometry.

Properties
Excess energy over the best structure of this formula in the dataset   12 meV per atom
Space-group type   No. 139

a b c (Å): 3.0285 3.0285 21.1497
angles (deg): 90.00 90.00 90.00
With the nearest neighbours (Å) after each atom.
Element x y z (fractional)
Cr  0.0000  0.0000  0.0000  8 W 2.61
Cr  0.0000  0.0000  0.2833  4 Cr 2.56, 5 W 2.59-2.86
Cr  0.0000  0.0000  0.7167  4 Cr 2.56, 5 W 2.59-2.86
Cr  0.5000  0.5000  0.2167  4 Cr 2.56, 5 W 2.59-2.86
Cr  0.5000  0.5000  0.5000  8 W 2.61
Cr  0.5000  0.5000  0.7833  4 Cr 2.56, 5 W 2.59-2.86
W  0.0000  0.0000  0.1482  5 Cr 2.59-2.86, 4 W 2.70
W  0.0000  0.0000  0.4298  4 Cr 2.61, 4 W 2.70
W  0.0000  0.0000  0.5702  4 Cr 2.61, 4 W 2.70
W  0.0000  0.0000  0.8518  5 Cr 2.59-2.86, 4 W 2.70
W  0.5000  0.5000  0.0702  4 Cr 2.61, 4 W 2.70
W  0.5000  0.5000  0.3518  5 Cr 2.59-2.86, 4 W 2.70
W  0.5000  0.5000  0.6482  5 Cr 2.59-2.86, 4 W 2.70
W  0.5000  0.5000  0.9298  4 Cr 2.61, 4 W 2.70



VASP calculation (PBEsol) on crystalline Cr3W13 at its relaxed geometry.

Properties
Space-group type   No. 38

a b c (Å): 6.2112 6.2055 6.2055
angles (deg): 89.72 90.00 90.00
With the nearest neighbours (Å) after each atom.
Element x y z (fractional)
Cr  0.0000  0.0000  0.0000  6 W 2.65-2.68, 2 Cr 2.67
Cr  0.2484  0.7525  0.7525  7 W 2.63-2.67, 1 Cr 2.67
Cr  0.7516  0.7525  0.7525  7 W 2.63-2.67, 1 Cr 2.67
W  0.0000  0.5060  0.5060  2 Cr 2.66, 6 W 2.70-2.73
W  0.0000  0.5088  0.9957  2 Cr 2.63, 6 W 2.68-2.72
W  0.0000  0.9957  0.5088  2 Cr 2.63, 6 W 2.68-2.72
W  0.2475  0.2483  0.7542  1 Cr 2.65, 7 W 2.67-2.71
W  0.2476  0.2494  0.2494  1 Cr 2.68, 7 W 2.72-2.75
W  0.2475  0.7542  0.2483  1 Cr 2.65, 7 W 2.67-2.71
W  0.5000  0.5058  0.5058  2 Cr 2.67, 6 W 2.71-2.75
W  0.5000  0.5062  0.9963  2 Cr 2.65, 6 W 2.70-2.73
W  0.5000  0.9963  0.5062  2 Cr 2.65, 6 W 2.70-2.73
W  0.5000  0.9964  0.9964  2 Cr 2.65, 6 W 2.67-2.72
W  0.7525  0.2483  0.7542  1 Cr 2.65, 7 W 2.67-2.71
W  0.7524  0.2494  0.2494  1 Cr 2.68, 7 W 2.72-2.75
W  0.7525  0.7542  0.2483  1 Cr 2.65, 7 W 2.67-2.71



VASP calculation (PBEsol) on crystalline CrW2 at its relaxed geometry.

Properties
Excess energy over the best structure of this formula in the dataset   391 meV per atom
Space-group type   No. 164

a b c (Å): 2.8782 2.8782 6.1244
angles (deg): 90.00 90.00 120.00
With the nearest neighbours (Å) after each atom.
Element x y z (fractional)
Cr  0.0000  0.0000  0.0000  6 W 2.56
W  0.3333  0.6667  0.6821  3 Cr 2.56, 3 W 2.78
W  0.6667  0.3333  0.3179  3 Cr 2.56, 3 W 2.78



no.,Fermi-level density of states (states/eV/f.u.),formation energy (eV/atom)
1,2.10,-0.068
2,1.60,0.084
3,2.16,0.081
4,3.22,0.066
5,4.92,0.107
6,2.26,0.098
7,2.82,0.056
8,3.48,2.598
9,1.61,0.070
10,3.94,0.089
11,9.59,0.066
12,2.51,0.460